1.
A plane-wave DFT calculation with PBE was carried out for a geometry-optimized Re3Os4 structure.

Structure (CIF):
```
data_Re3Os4
_cell_length_a 11.929
_cell_length_b 2.753
_cell_length_c 6.727
_cell_angle_alpha 90.00
_cell_angle_beta 111.96
_cell_angle_gamma 90.00
_space_group_name_H-M_alt 'C 1 2/m 1'
_space_group_IT_number 12
loop_
_space_group_symop_operation_xyz
'x,y,z'
'-x,-y,-z'
'-x,y,-z'
'x,-y,z'
'x+1/2,y+1/2,z'
'-x+1/2,-y+1/2,-z'
'-x+1/2,y+1/2,-z'
'x+1/2,-y+1/2,z'
loop_
_atom_site_label
_atom_site_type_symbol
_atom_site_fract_x
_atom_site_fract_y
_atom_site_fract_z
_atom_site_occupancy
Re1 Re 0.000 0.000 0.000 1
Re2 Re 0.072 0.500 0.714 1
Os1 Os 0.142 0.000 0.429 1
Os2 Os 0.213 0.500 0.139 1
```

Calculated values
**Formation energy**: 0.098 eV/atom

=====

2.
A plane-wave DFT calculation with PBE was carried out for a geometry-optimized HfI3O structure.

Structure (CIF):
```
data_HfI3O
_cell_length_a 5.612
_cell_length_b 5.612
_cell_length_c 5.612
_cell_angle_alpha 90.00
_cell_angle_beta 90.00
_cell_angle_gamma 90.00
_space_group_name_H-M_alt 'P m -3 m'
_space_group_IT_number 221
_space_group_name_Hall '-P 4 2 3'
loop_
_atom_site_label
_atom_site_type_symbol
_atom_site_fract_x
_atom_site_fract_y
_atom_site_fract_z
_atom_site_occupancy
Hf1 Hf 0.000 0.000 0.000 1
I1 I 0.000 0.000 0.500 1
O1 O 0.500 0.500 0.500 1
```

Calculated values
**Uncorrected formation energy**: 0.22 eV/atom

=====

3.
A plane-wave DFT calculation with PBE was carried out for a geometry-optimized CsNa4Cu3Cl12 structure.

Structure (CIF):
```
data_CsNa4Cu3Cl12
_cell_length_a 10.069
_cell_length_b 10.069
_cell_length_c 10.069
_cell_angle_alpha 90.00
_cell_angle_beta 90.00
_cell_angle_gamma 90.00
_space_group_name_H-M_alt 'I m -3'
_space_group_IT_number 204
_space_group_name_Hall '-I 2 2 3'
loop_
_atom_site_label
_atom_site_type_symbol
_atom_site_fract_x
_atom_site_fract_y
_atom_site_fract_z
_atom_site_occupancy
Cs1 Cs 0.000 0.000 0.000 1
Na1 Na 0.250 0.250 0.250 1
Cu1 Cu 0.000 0.000 0.500 1
Cl1 Cl 0.000 0.339 0.157 1
```

Calculated values
**Uncorrected formation energy**: -1.13 eV/atom

=====

4.
A plane-wave DFT calculation with PBE was carried out for a geometry-optimized LaFe2I structure.

Structure (CIF):
```
data_LaFe2I
_cell_length_a 4.607
_cell_length_b 4.607
_cell_length_c 18.076
_cell_angle_alpha 90.00
_cell_angle_beta 90.00
_cell_angle_gamma 90.00
_space_group_name_H-M_alt 'I -4 2 d'
_space_group_IT_number 122
_space_group_name_Hall 'I -4 2bw'
loop_
_atom_site_label
_atom_site_type_symbol
_atom_site_fract_x
_atom_site_fract_y
_atom_site_fract_z
_atom_site_occupancy
La1 La 0.000 0.000 0.000 1
Fe1 Fe 0.077 0.750 0.625 1
I1 I 0.000 0.000 0.500 1
```

Calculated values
**Uncorrected formation energy**: 0.44 eV/atom

=====

5.
A plane-wave DFT calculation with PBE was carried out for a geometry-optimized YP2Au structure.

Structure (CIF):
```
data_YP2Au
_cell_length_a 6.703
_cell_length_b 6.703
_cell_length_c 6.703
_cell_angle_alpha 90.00
_cell_angle_beta 90.00
_cell_angle_gamma 90.00
_space_group_name_H-M_alt 'F m -3 m'
_space_group_IT_number 225
_space_group_name_Hall '-F 4 2 3'
loop_
_atom_site_label
_atom_site_type_symbol
_atom_site_fract_x
_atom_site_fract_y
_atom_site_fract_z
_atom_site_occupancy
Y1 Y 0.000 0.000 0.000 1
P1 P 0.250 0.250 0.250 1
Au1 Au 0.000 0.000 0.500 1
```

Calculated values
**Formation energy**: -0.284 eV/atom

=====

6.
A plane-wave DFT calculation with PBE was carried out for a geometry-optimized Cd2AsRu structure.

Structure (CIF):
```
data_Cd2AsRu
_cell_length_a 4.135
_cell_length_b 3.742
_cell_length_c 5.556
_cell_angle_alpha 90.00
_cell_angle_beta 111.74
_cell_angle_gamma 90.00
_space_group_name_H-M_alt 'P 1 m 1'
_space_group_IT_number 6
loop_
_space_group_symop_operation_xyz
'x,y,z'
'x,-y,z'
loop_
_atom_site_label
_atom_site_type_symbol
_atom_site_fract_x
_atom_site_fract_y
_atom_site_fract_z
_atom_site_occupancy
Cd1 Cd 0.000 0.000 0.000 1
Cd2 Cd 0.307 0.500 0.615 1
As1 As 0.586 0.500 0.172 1
Ru1 Ru 0.726 0.000 0.451 1
```

Calculated values
**Formation energy**: 0.106 eV/atom

=====

7.
A plane-wave DFT calculation with PBE was carried out for a geometry-optimized LiU2Cl3O8 structure.

Structure (CIF):
```
data_LiU2Cl3O8
_cell_length_a 8.357
_cell_length_b 8.518
_cell_length_c 9.173
_cell_angle_alpha 99.27
_cell_angle_beta 109.20
_cell_angle_gamma 96.84
_space_group_name_H-M_alt 'P -1'
_space_group_IT_number 2
loop_
_space_group_symop_operation_xyz
'x,y,z'
'-x,-y,-z'
loop_
_atom_site_label
_atom_site_type_symbol
_atom_site_fract_x
_atom_site_fract_y
_atom_site_fract_z
_atom_site_occupancy
Li1 Li 0.185 0.064 0.315 1
U1 U 0.171 0.701 0.700 1
U2 U 0.486 0.877 0.141 1
Cl1 Cl 0.024 0.607 0.370 1
Cl2 Cl 0.213 0.624 0.993 1
Cl3 Cl 0.257 0.974 0.563 1
O1 O 0.015 0.207 0.296 1
O2 O 0.017 0.050 0.963 1
O3 O 0.343 0.992 0.213 1
O4 O 0.349 0.610 0.684 1
O5 O 0.365 0.902 0.890 1
O6 O 0.370 0.246 0.904 1
O7 O 0.423 0.323 0.502 1
O8 O 0.462 0.683 0.375 1
```

Calculated values
**Uncorrected formation energy**: -1.94 eV/atom

=====

8.
A plane-wave DFT calculation with PBE was carried out for a geometry-optimized TmPaMn2 structure.

Structure (CIF):
```
data_TmPaMn2
_cell_length_a 3.338
_cell_length_b 3.338
_cell_length_c 6.847
_cell_angle_alpha 90.00
_cell_angle_beta 90.00
_cell_angle_gamma 90.00
_space_group_name_H-M_alt 'P 4/m m m'
_space_group_IT_number 123
_space_group_name_Hall '-P 4 2'
loop_
_atom_site_label
_atom_site_type_symbol
_atom_site_fract_x
_atom_site_fract_y
_atom_site_fract_z
_atom_site_occupancy
Tm1 Tm 0.000 0.000 0.000 1
Pa1 Pa 0.000 0.000 0.500 1
Mn1 Mn 0.500 0.500 0.293 1
```

Calculated values
**Formation energy**: 0.056 eV/atom

=====

9.
A plane-wave DFT calculation with PBE was carried out for a geometry-optimized Pm3Sm3Ho structure.

Structure (CIF):
```
data_Pm3Sm3Ho
_cell_length_a 9.7125
_cell_length_b 9.7125
_cell_length_c 5.8176
_cell_angle_alpha 90.00
_cell_angle_beta 90.00
_cell_angle_gamma 120.00
_space_group_name_H-M_alt 'P 63/m'
_space_group_IT_number 176
_space_group_name_Hall '-P 6c'
loop_
_atom_site_label
_atom_site_type_symbol
_atom_site_fract_x
_atom_site_fract_y
_atom_site_fract_z
_atom_site_occupancy
Pm1 Pm 0.0469 0.2399 0.2500 1
Sm1 Sm 0.0948 0.4765 0.7500 1
Ho1 Ho 0.3333 0.6667 0.2500 1
```

Calculated values
**Formation energy**: 0.024 eV/atom

=====

10.
A plane-wave DFT calculation with PBE was carried out for a geometry-optimized POs2Cl structure.

Structure (CIF):
```
data_POs2Cl
_cell_length_a 4.387
_cell_length_b 4.387
_cell_length_c 6.230
_cell_angle_alpha 90.00
_cell_angle_beta 90.00
_cell_angle_gamma 90.00
_space_group_name_H-M_alt 'I -4 m 2'
_space_group_IT_number 119
_space_group_name_Hall 'I -4 -2'
loop_
_atom_site_label
_atom_site_type_symbol
_atom_site_fract_x
_atom_site_fract_y
_atom_site_fract_z
_atom_site_occupancy
P1 P 0.000 0.000 0.000 1
Os1 Os 0.000 0.000 0.500 1
Os2 Os 0.000 0.500 0.250 1
Cl1 Cl 0.000 0.500 0.750 1
```

Calculated values
**Uncorrected formation energy**: 1.18 eV/atom

=====

Calculated total energy readings, ordered: -11.654, -3.693, -3.156, -5.413, -5.425, -3.833, -6.918, -8.021, -4.689, -6.252 eV per atom
M_tot readings, ordered: 0.00, 0.00, 2.03, 4.16, 0.00, 0.00, 3.00, 2.98, 0.00, 0.00 μB per formula unit